(1)
Here is a relaxed TmTh2As3 crystal from Alexandria via LeMat-Bulk. Energies are from PBE.

Unit cell a=4.1878 b=5.9444 c=12.5958 alpha=90.00 beta=90.00 gamma=90.00
Space group Immm (No. 71)
One atom of each set of equivalent atoms:
Tm: 0.0000 0.0000 0.0000 [2 per cell]
Th: 0.0000 0.0000 0.3326 [4 per cell]
As: 0.0000 0.5000 0.0000 [2 per cell]
As: 0.0000 0.5000 0.3400 [4 per cell]

## Properties
The formation energy comes out at -1420 meV/atom.

(2)
Here is a relaxed TmThAs crystal from Alexandria via LeMat-Bulk. Energies are from PBE.

Unit cell a=8.6188 b=10.9064 c=7.5582 alpha=90.00 beta=90.00 gamma=90.00
Space group Cmce (No. 64)
One atom of each set of equivalent atoms:
Tm: 0.0000 0.2010 0.1660 [8 per cell]
Th: 0.2035 0.0000 0.5000 [8 per cell]
As: 0.0000 0.0658 0.8072 [8 per cell]

## Properties
The formation energy comes out at -647 meV/atom.

(3)
Here is a relaxed TmThAs2 crystal from Alexandria via LeMat-Bulk. Energies are from PBE.

Unit cell a=4.1741 b=4.1741 c=20.2270 alpha=90.00 beta=90.00 gamma=120.00
Space group R-3m (No. 166, hexagonal axes)
One atom of each set of equivalent atoms:
Tm: 0.0000 0.0000 0.0000 [3 per cell]
Th: 0.0000 0.0000 0.5000 [3 per cell]
As: 0.0000 0.0000 0.2541 [6 per cell]

## Properties
The distance to the lowest polymorph of the same formula is 0.00 eV per formula unit. The formation energy comes out at -1444 meV/atom.

Spin magnetization values (in μB per cell) by entry order: 0.0 0.0 0.0.